## NdTm15In4 (PBE-GGA)

Data for NdTm15In4 after structural relaxation.

- Formation energy from the elements: -0.192 eV per atom
- Spin magnetization: 0.0 μB per cell
- Volume: 563.0 Å³ per cell
- Symmetry: P4/mmm
- Final energy: -4.332 eV/atom

abc: 4.802 4.802 24.419
angles: 90.00 90.00 90.00
Fractional positions:
Tm 0.000 0.500 0.107
Tm 0.500 0.000 0.107
Tm 0.000 0.500 0.304
Nd 0.000 0.000 0.000
Tm 0.000 0.500 0.893
Tm 0.000 0.500 0.696
In 0.000 0.000 0.207
Tm 0.500 0.500 0.598
In 0.000 0.000 0.793
Tm 0.500 0.000 0.304
Tm 0.500 0.500 0.207
Tm 0.500 0.000 0.696
In 0.000 0.000 0.402
Tm 0.500 0.500 0.402
Tm 0.500 0.500 0.793
Tm 0.500 0.500 0.000
Tm 0.000 0.500 0.500
Tm 0.500 0.000 0.500
In 0.000 0.000 0.598
Tm 0.500 0.000 0.893


## LaRh2F (PBE-GGA)

Data for LaRh2F after structural relaxation.

- Formation energy (no corrections): -1.863 eV per formula unit
- Relative energy among the computed polymorphs: 651 meV/atom
- Spin magnetization: 0.0 μB per cell
- Volume: 68.6 Å³ per cell
- Symmetry: Fm-3m
- Final energy: -5.841 eV/atom

abc: 4.594 4.594 4.594
angles: 60.00 60.00 60.00
Fractional positions:
F 0.000 0.000 0.000
Rh 0.250 0.250 0.250
La 0.500 0.500 0.500
Rh 0.750 0.750 0.750


## KCrSe2 (PBE-GGA)

Data for KCrSe2 after structural relaxation.

- Formation energy (no corrections): -2.367 eV per formula unit
- Spin magnetization: 3.0 μB per cell
- Volume: 112.3 Å³ per cell
- Symmetry: P2/m
- Final energy: -5.014 eV/atom

abc: 3.624 4.278 7.301
angles: 82.74 90.00 90.00
Fractional positions:
Cr 0.500 0.250 0.250
Se 0.000 0.167 0.032
K 0.500 0.750 0.750
Se 0.000 0.333 0.468


## LiNd2Cu2O6 (PBE-GGA)

Data for LiNd2Cu2O6 after structural relaxation.

- Formation energy (no corrections): -17.904 eV per formula unit
- Spin magnetization: 1.9 μB per cell
- Volume: 146.2 Å³ per cell
- Symmetry: R-3m
- Final energy: -6.118 eV/atom

abc: 5.636 5.636 6.231
angles: 63.11 63.11 60.00
Fractional positions:
O 0.796 0.242 0.720
O 0.758 0.758 0.280
O 0.242 0.242 0.720
Cu 0.582 0.582 0.255
O 0.204 0.758 0.280
O 0.758 0.204 0.280
Cu 0.418 0.418 0.745
O 0.242 0.796 0.720
Nd 0.790 0.790 0.629
Li 0.000 0.000 0.000
Nd 0.210 0.210 0.371